A plane-wave DFT calculation with PBE was carried out for a geometry-optimized PrPu2Si2Pt7 structure.

Values from the calculation:
As for the formation energy without anion corrections: -0.8760 eV/atom. The size of the total moment is 0.910 μB/atom. The uncorrected energy is -97.09 eV/cell.

abc: 4.0980 4.0980 13.9741
angles: 95.77 95.77 89.21
Closest atoms and distances in Å follow each position.
Fractional positions:
Pr 0.0000 0.0000 0.0000  12 Pt 2.88-3.08
Pu 0.1076 0.1076 0.3646  5 Pt 3.00-3.13, 3 Si 3.19-3.25
Pu 0.8924 0.8924 0.6354  5 Pt 3.00-3.13, 3 Si 3.19-3.25
Si 0.4108 0.4108 0.7437  5 Pt 2.35-2.40
Si 0.5892 0.5892 0.2563  5 Pt 2.35-2.40
Pt 0.0582 0.5568 0.1659  2 Si 2.40
Pt 0.3780 0.3780 0.5743  1 Si 2.35
Pt 0.4432 0.9418 0.8341  2 Si 2.40
Pt 0.5000 0.5000 0.0000  4 Pr 2.88-2.92, 8 Pt 3.07-3.08
Pt 0.5568 0.0582 0.1659  2 Si 2.40
Pt 0.6220 0.6220 0.4257  1 Si 2.35
Pt 0.9418 0.4432 0.8341  2 Si 2.40